## A
# NiOs2Pt

NiOs2Pt after structural relaxation (PBE, Alexandria). Values from VASP.

Magnetization ... 0.00 μB/f.u.
DOS(E_F) ... 5.09 states/eV/f.u.
SG ... Cmmm, No. 65

The structure in Quantum ESPRESSO input format:
```
&SYSTEM
  ibrav = 0, nat = 4, ntyp = 3
/
ATOMIC_SPECIES
Os 190.23 Os.upf
Ni 58.69 Ni.upf
Pt 195.08 Pt.upf
CELL_PARAMETERS angstrom
-1.103 1.310 2.043
-1.173 -2.216 -0.906
4.968 -5.053 5.923
ATOMIC_POSITIONS angstrom
Os 4.892 -4.975 5.832
Ni 2.588 -4.243 5.011
Os 2.561 -2.604 3.053
Pt 0.104 -1.716 2.049
```

## B
# NiOs2Pt

NiOs2Pt after structural relaxation (PBE, Alexandria). Values from VASP.

Magnetization ... 0.00 μB/f.u.
DOS(E_F) ... 5.00 states/eV/f.u.
SG ... I-4m2, No. 119

The structure in Quantum ESPRESSO input format:
```
&SYSTEM
  ibrav = 0, nat = 4, ntyp = 3
/
ATOMIC_SPECIES
Os 190.23 Os.upf
Ni 58.69 Ni.upf
Pt 195.08 Pt.upf
CELL_PARAMETERS angstrom
-0.468 -2.865 3.662
3.380 -3.225 -0.092
0.126 4.660 -0.320
ATOMIC_POSITIONS angstrom
Os 2.912 -6.090 3.570
Os 0.557 -0.624 2.563
Ni 2.481 -0.805 0.687
Pt 1.456 -3.045 1.785
```

## C
# NiOs2Pt

NiOs2Pt after structural relaxation (PBE, Alexandria). Values from VASP.

Magnetization ... 0.00 μB/f.u.
DOS(E_F) ... 3.80 states/eV/f.u.
SG ... Pm, No. 6

The structure in Quantum ESPRESSO input format:
```
&SYSTEM
  ibrav = 0, nat = 4, ntyp = 3
/
ATOMIC_SPECIES
Os 190.23 Os.upf
Ni 58.69 Ni.upf
Pt 195.08 Pt.upf
CELL_PARAMETERS angstrom
-2.571 2.688 -0.609
-1.837 -1.435 1.421
-0.282 1.080 5.954
ATOMIC_POSITIONS angstrom
Os -1.829 -1.425 1.433
Ni -2.870 1.087 5.246
Os -1.846 1.206 1.451
Pt -1.041 -0.147 3.742
```

Which of them is the most stable, and which is the least stable? C and A, in that order.

## A
# NiOs2Pt

NiOs2Pt after structural relaxation (PBE, Alexandria). Values from VASP.

Magnetization ... 0.00 μB/f.u.
DOS(E_F) ... 3.62 states/eV/f.u.
SG ... I-42d, No. 122

The structure in Quantum ESPRESSO input format:
```
&SYSTEM
  ibrav = 0, nat = 8, ntyp = 3
/
ATOMIC_SPECIES
Ni 58.69 Ni.upf
Os 190.23 Os.upf
Pt 195.08 Pt.upf
CELL_PARAMETERS angstrom
-1.174 3.516 -0.073
-3.271 -1.120 -1.339
-5.319 0.335 7.583
ATOMIC_POSITIONS angstrom
Ni -5.406 0.207 2.770
Os -7.759 2.389 4.501
Pt -4.358 2.525 3.403
Pt 0.000 0.000 0.000
Os -5.775 1.109 5.110
Os -3.563 -0.048 1.048
Os -2.429 2.013 1.686
Ni -2.222 1.198 -0.706
```

## B
# NiOs2Pt

NiOs2Pt after structural relaxation (PBE, Alexandria). Values from VASP.

Magnetization ... 0.00 μB/f.u.
DOS(E_F) ... 4.72 states/eV/f.u.
SG ... Cm, No. 8

The structure in Quantum ESPRESSO input format:
```
&SYSTEM
  ibrav = 0, nat = 4, ntyp = 3
/
ATOMIC_SPECIES
Pt 195.08 Pt.upf
Ni 58.69 Ni.upf
Os 190.23 Os.upf
CELL_PARAMETERS angstrom
-3.193 -3.400 -0.300
-0.783 -4.566 -0.618
-0.068 -1.362 4.488
ATOMIC_POSITIONS angstrom
Pt -2.021 -4.647 1.723
Ni -1.018 -2.345 0.884
Os -3.025 -7.011 2.791
Os -0.069 -1.352 4.446
```

Which of them is the most stable, and which is the least stable? B and A, in that order.

## A
# NiOs2Pt

NiOs2Pt after structural relaxation (PBE, Alexandria). Values from VASP.

Magnetization ... 0.00 μB/f.u.
DOS(E_F) ... 6.04 states/eV/f.u.
SG ... Fm-3m, No. 225

The structure in Quantum ESPRESSO input format:
```
&SYSTEM
  ibrav = 0, nat = 4, ntyp = 3
/
ATOMIC_SPECIES
Os 190.23 Os.upf
Pt 195.08 Pt.upf
Ni 58.69 Ni.upf
CELL_PARAMETERS angstrom
0.000 3.045 3.045
3.045 0.000 3.045
3.045 3.045 0.000
ATOMIC_POSITIONS angstrom
Os 1.523 1.523 1.523
Os 4.568 4.568 4.568
Pt 3.045 3.045 3.045
Ni 0.000 0.000 0.000
```

## B
# NiOs2Pt

NiOs2Pt after structural relaxation (PBE, Alexandria). Values from VASP.

Magnetization ... 1.77 μB/f.u.
DOS(E_F) ... 5.51 states/eV/f.u.
SG ... F-43m, No. 216

The structure in Quantum ESPRESSO input format:
```
&SYSTEM
  ibrav = 0, nat = 4, ntyp = 3
/
ATOMIC_SPECIES
Os 190.23 Os.upf
Ni 58.69 Ni.upf
Pt 195.08 Pt.upf
CELL_PARAMETERS angstrom
4.323 0.000 0.000
2.161 3.744 0.000
2.161 1.248 3.530
ATOMIC_POSITIONS angstrom
Os 2.161 1.248 0.882
Ni 4.323 2.496 1.765
Os 0.000 0.000 0.000
Pt 6.484 3.744 2.647
```

Which of them is the most stable, and which is the least stable? B and A, in that order.

## A
# NiOs2Pt

NiOs2Pt after structural relaxation (PBE, Alexandria). Values from VASP.

Magnetization ... 0.00 μB/f.u.
DOS(E_F) ... 5.88 states/eV/f.u.
SG ... I4/mmm, No. 139

The structure in Quantum ESPRESSO input format:
```
&SYSTEM
  ibrav = 0, nat = 4, ntyp = 3
/
ATOMIC_SPECIES
Os 190.23 Os.upf
Ni 58.69 Ni.upf
Pt 195.08 Pt.upf
CELL_PARAMETERS angstrom
-4.010 -1.939 1.594
0.840 -4.035 2.322
1.832 4.350 0.321
ATOMIC_POSITIONS angstrom
Os 0.000 0.000 0.000
Os -1.585 -2.987 1.958
Ni 0.544 -1.336 2.301
Pt -1.882 -0.288 1.936
```

## B
# NiOs2Pt

NiOs2Pt after structural relaxation (PBE, Alexandria). Values from VASP.

Magnetization ... 0.08 μB/f.u.
DOS(E_F) ... 5.59 states/eV/f.u.
SG ... Pmmm, No. 47

The structure in Quantum ESPRESSO input format:
```
&SYSTEM
  ibrav = 0, nat = 4, ntyp = 3
/
ATOMIC_SPECIES
Os 190.23 Os.upf
Pt 195.08 Pt.upf
Ni 58.69 Ni.upf
CELL_PARAMETERS angstrom
2.703 0.000 0.000
0.000 4.537 0.000
0.000 0.000 4.671
ATOMIC_POSITIONS angstrom
Os 0.000 0.000 0.000
Pt 1.351 0.000 2.335
Ni 0.000 2.268 2.335
Os 1.351 2.268 0.000
```

## C
# NiOs2Pt

NiOs2Pt after structural relaxation (PBE, Alexandria). Values from VASP.

Magnetization ... 0.00 μB/f.u.
DOS(E_F) ... 5.10 states/eV/f.u.
SG ... C2/m, No. 12

The structure in Quantum ESPRESSO input format:
```
&SYSTEM
  ibrav = 0, nat = 4, ntyp = 3
/
ATOMIC_SPECIES
Pt 195.08 Pt.upf
Os 190.23 Os.upf
Ni 58.69 Ni.upf
CELL_PARAMETERS angstrom
4.662 0.001 0.001
3.877 2.589 0.001
0.789 0.239 4.618
ATOMIC_POSITIONS angstrom
Pt 6.996 2.122 3.465
Os 4.676 1.418 2.259
Os 8.526 2.586 0.053
Ni 2.332 0.707 1.155
```

## D
# NiOs2Pt

NiOs2Pt after structural relaxation (PBE, Alexandria). Values from VASP.

Magnetization ... 0.00 μB/f.u.
DOS(E_F) ... 5.04 states/eV/f.u.
SG ... Immm, No. 71

The structure in Quantum ESPRESSO input format:
```
&SYSTEM
  ibrav = 0, nat = 4, ntyp = 3
/
ATOMIC_SPECIES
Pt 195.08 Pt.upf
Os 190.23 Os.upf
Ni 58.69 Ni.upf
CELL_PARAMETERS angstrom
5.409 -0.016 0.004
2.985 4.511 -0.004
-3.674 -3.224 2.316
ATOMIC_POSITIONS angstrom
Pt 2.966 -0.496 1.160
Os 3.921 2.100 0.000
Os 0.275 0.147 0.000
Ni 1.754 1.767 1.156
```

Which of them is the most stable, and which is the least stable? C and B, in that order.